A geometry-optimized Dy3TlPb structure, computed with GGA-PBE.

Total DFT energy (no corrections) in eV per atom: -4.27
SG: C2/c (15)
Formation energy in eV/atom: -0.2946
DOS(E_F) in states/eV per cell: 20.56

Cell lengths 8.8343, 8.3325, 8.3325 Å; angles 87.12, 90.01, 90.01 degrees
With the nearest neighbours (Å) after each atom.
Sites, in units of the cell vectors:
1 Dy 0.6890 0.9247 0.5752  2 Pb 3.08, 3 Tl 3.10-3.13
2 Tl 0.8705 0.6918 0.8095  7 Dy 3.10-3.22
3 Dy 0.0806 0.7031 0.4934  3 Pb 3.19-3.48, 2 Tl 3.20-3.22
4 Dy 0.4194 0.5066 0.2969  3 Pb 3.19-3.48, 2 Tl 3.20-3.22
5 Dy 0.1890 0.5752 0.9247  2 Pb 3.08, 3 Tl 3.10-3.13
6 Tl 0.6295 0.1905 0.3082  7 Dy 3.10-3.22
7 Pb 0.7500 0.1489 0.8511  6 Dy 3.08-3.41
8 Pb 0.2500 0.8511 0.1489  6 Dy 3.08-3.41
9 Dy 0.4194 0.2026 0.9925  3 Pb 3.19-3.48, 2 Tl 3.19-3.22
10 Dy 0.9194 0.9925 0.2026  3 Pb 3.19-3.48, 2 Tl 3.19-3.22
11 Dy 0.5806 0.7974 0.0075  3 Pb 3.19-3.48, 2 Tl 3.19-3.22
12 Tl 0.3705 0.8095 0.6918  7 Dy 3.10-3.22
13 Dy 0.5806 0.4934 0.7031  3 Pb 3.19-3.48, 2 Tl 3.20-3.22
14 Pb 0.2500 0.3520 0.6480  6 Dy 3.08-3.42
15 Dy 0.9194 0.2969 0.5066  3 Pb 3.19-3.48, 2 Tl 3.20-3.22
16 Tl 0.1295 0.3082 0.1905  7 Dy 3.10-3.22
17 Pb 0.7500 0.6480 0.3520  6 Dy 3.08-3.42
18 Dy 0.8110 0.4248 0.0753  2 Pb 3.08, 3 Tl 3.10-3.13
19 Dy 0.3110 0.0753 0.4248  2 Pb 3.08, 3 Tl 3.10-3.13
20 Dy 0.0806 0.0075 0.7974  3 Pb 3.19-3.48, 2 Tl 3.19-3.22